Here is a relaxed ZrBiAs2S crystal from Alexandria. Energies are from PBE.

Cell and atoms, written as CIF:
```
data_ZrBiAs2S
_cell_length_a 5.297
_cell_length_b 5.297
_cell_length_c 5.662
_cell_angle_alpha 90.00
_cell_angle_beta 90.00
_cell_angle_gamma 90.00
_space_group_name_H-M_alt 'P 4/m m m'
_space_group_IT_number 123
_space_group_name_Hall '-P 4 2'
loop_
_atom_site_label
_atom_site_fract_x
_atom_site_fract_y
_atom_site_fract_z
Zr1 0.000 0.000 0.000
Bi1 0.000 0.000 0.500
As1 0.000 0.500 0.500
S1 0.500 0.500 0.000
```

Values from the calculation:
E_tot: -3.902 eV/atom
Crystal system: tetragonal